VASP calculation (PBE) on an optimized crystal structure of Nd3P5Pd6.

a = 4.0303 Å, b = 9.9821 Å, c = 12.5214 Å
α = 90.00°, β = 90.00°, γ = 90.00°
Closest atoms and distances in Å follow each position.
Atoms (fractional coordinates):
P: 0.5000 0.1513 0.8317  5 Pd 2.43-2.58
Nd: 0.5000 0.7546 0.1590  7 Pd 3.05-3.25, 6 P 3.06-3.10
P: 0.0000 0.8487 0.3317  5 Pd 2.43-2.58
Pd: 0.0000 0.0084 0.8307  4 P 2.47-2.58
P: 0.0000 0.5237 0.8768  5 Pd 2.47-2.55
Nd: 0.5000 0.7406 0.5000  6 P 3.06-3.11, 10 Pd 3.19-3.40
Pd: 0.0000 0.9882 0.5000  4 P 2.47-2.53
Nd: 0.0000 0.2454 0.6590  7 Pd 3.05-3.25, 6 P 3.06-3.10
Nd: 0.5000 0.7546 0.8410  7 Pd 3.05-3.25, 6 P 3.06-3.10
Pd: 0.0000 0.6066 0.6911  4 P 2.43-2.55, 1 Pd 2.72
Pd: 0.5000 0.9916 0.6693  4 P 2.47-2.58
Pd: 0.5000 0.3934 0.1911  4 P 2.43-2.55, 1 Pd 2.72
Pd: 0.0000 0.6066 0.3089  4 P 2.43-2.55, 1 Pd 2.72
Nd: 0.0000 0.2454 0.3410  7 Pd 3.05-3.25, 6 P 3.06-3.10
Pd: 0.5000 0.5226 0.0000  4 P 2.54, 2 Pd 2.72
Pd: 0.5000 0.0118 0.0000  4 P 2.47-2.53
P: 0.0000 0.5237 0.1232  5 Pd 2.47-2.55
P: 0.5000 0.4763 0.6232  5 Pd 2.47-2.55
Nd: 0.0000 0.2594 0.0000  6 P 3.06-3.11, 10 Pd 3.19-3.40
P: 0.5000 0.1308 0.5000  4 Pd 2.47-2.53
Pd: 0.0000 0.0084 0.1693  4 P 2.47-2.58
P: 0.0000 0.8692 0.0000  4 Pd 2.47-2.53
P: 0.5000 0.4763 0.3768  5 Pd 2.47-2.55
P: 0.0000 0.8487 0.6683  5 Pd 2.43-2.58
Pd: 0.0000 0.4774 0.5000  4 P 2.54, 2 Pd 2.72
Pd: 0.5000 0.9916 0.3307  4 P 2.47-2.58
Pd: 0.5000 0.3934 0.8089  4 P 2.43-2.55, 1 Pd 2.72
P: 0.5000 0.1513 0.1683  5 Pd 2.43-2.58

Calculated values
M_tot: 0.000 μB per cell
density of states at the Fermi level: 8.78 states/eV/f.u.
ΔE_f: -951.5 meV per atom